Here is Li5GaRh2 after structural relaxation from Alexandria via LeMat-Bulk. Energies are from GGA-PBE.

Unit cell a=5.402 b=10.760 c=3.833 alpha=90.00 beta=90.00 gamma=90.00
Space group Pbam (No. 55)
Unique sites:
Li: 0.000 0.000 0.000 (multiplicity 2)
Li: 0.048 0.251 0.000 (multiplicity 4)
Li: 0.208 0.871 0.500 (multiplicity 4)
Ga: 0.000 0.500 0.000 (multiplicity 2)
Rh: 0.197 0.615 0.500 (multiplicity 4)

## Properties
Calculated volume   223 Å³ per cell
Spin magnetization   0.00 μB per formula unit
VASP energy   -3.6768 eV per atom
Energy of formation   -0.264 eV/atom
Density of states at the Fermi level   2.7 states/eV/f.u.